{
  "formula": "TcAg3Pd",
  "functional": "PBEsol",
  "state": "optimized geometry",
  "lattice": [[4.859, 0.000, 0.000], [0.000, 4.859, 0.000], [0.000, 0.000, 4.859]],
  "species": ["Tc", "Ag", "Ag", "Ag", "Pd"],
  "fractional_positions": [[0.000, 0.000, 0.000], [0.000, 0.500, 0.500], [0.500, 0.000, 0.500], [0.500, 0.500, 0.000], [0.500, 0.500, 0.500]],
  "formation_energy_mev_per_atom": 1609,
  "sg": "Pm-3m"
}

=====

{
  "formula": "CePO4",
  "functional": "PBEsol",
  "state": "optimized geometry",
  "lattice": [[-3.558, 3.558, 3.121], [3.558, -3.558, 3.121], [3.558, 3.558, -3.121]],
  "species": ["Ce", "Ce", "P", "P", "O", "O", "O", "O", "O", "O", "O", "O"],
  "fractional_positions": [[0.375, 0.625, 0.750], [0.625, 0.375, 0.250], [0.125, 0.875, 0.250], [0.875, 0.125, 0.750], [0.144, 0.722, 0.422], [0.200, 0.278, 0.922], [0.278, 0.200, 0.422], [0.278, 0.856, 0.078], [0.722, 0.144, 0.922], [0.722, 0.800, 0.578], [0.800, 0.722, 0.078], [0.856, 0.278, 0.578]],
  "de_polymorph_mev_per_atom": 16,
  "sg": "I4_1/amd",
  "e_form_raw_ev_per_atom": -2.903
}

=====

{
  "formula": "LaTl8",
  "functional": "PBEsol",
  "state": "optimized geometry",
  "lattice": [[-5.071, 5.071, 2.428], [5.071, -5.071, 2.428], [5.071, 5.071, -2.428]],
  "species": ["La", "Tl", "Tl", "Tl", "Tl", "Tl", "Tl", "Tl", "Tl"],
  "fractional_positions": [[0.000, 0.000, 0.000], [0.000, 0.338, 0.338], [0.000, 0.662, 0.662], [0.328, 0.328, 0.656], [0.328, 0.672, 0.000], [0.338, 0.000, 0.338], [0.662, 0.000, 0.662], [0.672, 0.328, 0.000], [0.672, 0.672, 0.344]],
  "formation_energy_mev_per_atom": -121,
  "sg": "I4/mmm"
}

=====

{
  "formula": "CsLi2Al2",
  "functional": "PBEsol",
  "state": "optimized geometry",
  "lattice": [[-2.640, 2.640, 4.980], [2.640, -2.640, 4.980], [2.640, 2.640, -4.980]],
  "species": ["Cs", "Li", "Li", "Al", "Al"],
  "fractional_positions": [[0.000, 0.000, 0.000], [0.250, 0.750, 0.500], [0.750, 0.250, 0.500], [0.366, 0.366, 0.000], [0.634, 0.634, 0.000]],
  "formation_energy_mev_per_atom": 278,
  "sg": "I4/mmm"
}

=====

{
  "formula": "LaSc2Ru",
  "functional": "PBEsol",
  "state": "optimized geometry",
  "lattice": [[-1.670, 2.581, 5.279], [1.670, -2.581, 5.279], [1.670, 2.581, -5.279]],
  "species": ["La", "Sc", "Sc", "Ru"],
  "fractional_positions": [[0.000, 0.000, 0.000], [0.301, 0.801, 0.500], [0.699, 0.199, 0.500], [0.500, 0.500, 0.000]],
  "de_polymorph_mev_per_atom": 139,
  "formation_energy_mev_per_atom": -154,
  "sg": "Immm"
}

=====

{
  "formula": "Cr3W",
  "functional": "PBEsol",
  "state": "optimized geometry",
  "lattice": [[4.098, 2.366, 0.856], [-4.098, 2.366, 0.856], [0.000, -4.732, 0.856]],
  "species": ["Cr", "Cr", "Cr", "W"],
  "fractional_positions": [[0.000, 0.500, 0.500], [0.500, 0.000, 0.500], [0.500, 0.500, 0.000], [0.000, 0.000, 0.000]],
  "formation_energy_mev_per_atom": 110,
  "sg": "R-3m"
}

=====

{
  "formula": "SbTe2AsPb",
  "functional": "PBEsol",
  "state": "optimized geometry",
  "lattice": [[5.668, 0.000, 0.000], [0.000, 5.668, 0.000], [0.000, 0.000, 5.627]],
  "species": ["Sb", "Te", "Te", "As", "Pb"],
  "fractional_positions": [[0.000, 0.000, 0.000], [0.000, 0.500, 0.500], [0.500, 0.000, 0.500], [0.500, 0.500, 0.000], [0.000, 0.000, 0.500]],
  "sg": "P4/mmm",
  "e_form_raw_ev_per_atom": 1.116
}

=====

{
  "formula": "HfSiPt2S",
  "functional": "PBEsol",
  "state": "optimized geometry",
  "lattice": [[4.400, 0.000, 0.000], [0.000, 4.400, 0.000], [0.000, 0.000, 4.712]],
  "species": ["Hf", "Si", "Pt", "Pt", "S"],
  "fractional_positions": [[0.000, 0.000, 0.000], [0.500, 0.500, 0.000], [0.000, 0.500, 0.500], [0.500, 0.000, 0.500], [0.000, 0.000, 0.500]],
  "sg": "P4/mmm",
  "e_form_raw_ev_per_atom": 0.055
}